The following is a PBE calculation of a relaxed structure of Rb2BaSbO4, from Alexandria via LeMat-Bulk.

Cell lengths 6.3744, 6.3744, 9.9945 Å; angles 90.00, 90.00, 90.00 degrees
Closest atoms and distances in Å follow each position.
Space group I-4 (No. 82)
Symmetry-distinct sites (fractional):
Rb 0.0000 0.0000 0.0000 [2 per cell]  4 O 2.87
Rb 0.0000 0.5000 0.2500 [2 per cell]  4 O 3.03
Ba 0.0000 0.0000 0.5000 [2 per cell]  4 O 2.58
Sb 0.0000 0.5000 0.7500 [2 per cell]  4 O 2.00
O 0.1671 0.7059 0.6425 [8 per cell]  1 Sb 2.00

## Properties
DFT total energy = -82.29 eV per cell
M_tot = 0.0 μB/f.u.
theoretical density = 4.04 g/cm³
N(E_F) = 0.386 states/eV per atom